Material: Er2LuHg
Method: DFT, PBE
State: optimized geometry

a = 10.620 Å, b = 10.620 Å, c = 10.620 Å
α = 19.32°, β = 19.32°, γ = 19.32°
Positions (direct):
Er  0.244  0.244  0.244
Er  0.756  0.756  0.756
Lu  0.000  0.000  0.000
Hg  0.500  0.500  0.500

Results
energy of formation = -0.150 eV per atom
calculated volume = 28.7 Å³/atom
SG = R-3m
relative energy among the computed polymorphs = 6.6 kJ/mol of atoms